# 1
Compound: TbHo2Mg
Source: the Alexandria database
Functional: GGA-PBE
Structure: relaxed

For the density of states at the Fermi level, the calculation gives 5.79 states/eV/f.u. The value obtained for the energy relative to the elements is 0.044 eV per atom. Its total energy is -3.8015 eV/atom.

POSCAR file:
```
TbHo2Mg
1.0
3.489 0.005 0.001
1.748 3.019 0.001
1.749 1.010 11.327
Tb Ho Mg
1 2 1
Cartesian
5.242 3.026 11.322
1.750 1.010 8.457
1.747 1.009 2.876
3.488 2.014 5.664
```

***

# 2
Compound: Rb6MgTe4
Source: the Alexandria database
Functional: GGA-PBE
Structure: relaxed

For the density of states at the Fermi level, the calculation gives 0.00 states/eV/f.u. Its total energy is -2.8511 eV/atom.

POSCAR file:
```
Rb6MgTe4
1.0
8.852 0.000 0.000
0.000 9.950 -5.745
0.000 0.000 11.489
Rb Mg Te
12 2 8
Cartesian
4.013 7.009 5.745
4.013 1.470 2.547
4.013 1.470 8.943
8.439 2.941 0.000
8.439 8.480 3.198
8.439 8.480 -3.198
5.620 9.422 0.000
5.620 5.239 -2.415
5.620 5.239 2.415
1.193 0.529 5.745
1.193 4.711 8.159
1.193 4.711 3.330
6.659 3.317 5.745
2.233 6.633 0.000
3.771 3.317 5.745
8.198 6.633 0.000
7.524 6.056 5.745
7.524 1.947 3.373
7.524 1.947 8.117
3.097 3.895 0.000
3.097 8.003 2.372
3.097 8.003 -2.372
```